# C3Se

A relaxed C3Se crystal (GGA-PBE, the Alexandria database).

The structure in POSCAR format:
```
C3Se
1.0
3.1104 0.0000 0.0000
0.0000 3.1104 0.0000
0.0000 0.0000 4.4962
C Se
3 1
Direct
0.0000 0.0000 0.0000
0.5000 0.5000 0.1466
0.5000 0.5000 0.8534
0.0000 0.0000 0.5000
```

Space-group type ... No. 123
N(E_F) ... 1.4 states/eV/f.u.
E ... -0.3628 Ry per atom
Polymorph energy (0 for the lowest one) ... 1530 meV per atom
M_tot ... 0.0000 μB per atom